Below is a geometry-optimized TbCd6Pd12 structure, with properties calculated at the GGA-PBE level.

Its energy of formation is -0.23 eV per atom. For the density of states at the Fermi level, the calculation gives 36.56 states/eV/cell.

a b c (Å): 11.1006 11.1006 9.7171
angles (deg): 90.00 90.00 120.00
Space group R-3 (No. 148, hexagonal axes)
Unique sites:
Tb 0.0000 0.0000 0.0000 (multiplicity 3)
Cd 0.0884 0.9104 0.7322 (multiplicity 18)
Pd 0.9996 0.2561 0.0001 (multiplicity 18)
Pd 0.0557 0.5282 0.1240 (multiplicity 18)

---

Below is a geometry-optimized Tb8Cd2Pd structure, with properties calculated at the GGA-PBE level.

Its energy of formation is -0.22 eV per atom. For the density of states at the Fermi level, the calculation gives 20.03 states/eV/cell.

a b c (Å): 17.788 5.308 6.949
angles (deg): 90.00 107.72 90.00
Space group C2/m (No. 12)
Unique sites:
Tb 0.021 0.000 0.276 (multiplicity 4)
Tb 0.091 0.500 0.938 (multiplicity 4)
Tb 0.154 0.500 0.454 (multiplicity 4)
Tb 0.199 0.000 0.792 (multiplicity 4)
Cd 0.186 0.000 0.217 (multiplicity 4)
Pd 0.000 0.500 0.500 (multiplicity 2)

---

Below is a geometry-optimized Tb3CdPd12 structure, with properties calculated at the GGA-PBE level.

Its energy of formation is -0.71 eV per atom. For the density of states at the Fermi level, the calculation gives 15.14 states/eV/cell.

a b c (Å): 4.104 4.104 16.461
angles (deg): 90.00 90.00 90.00
Space group P4/mmm (No. 123)
Unique sites:
Tb 0.000 0.000 0.000 (multiplicity 1)
Tb 0.000 0.000 0.254 (multiplicity 2)
Cd 0.000 0.000 0.500 (multiplicity 1)
Pd 0.000 0.500 0.126 (multiplicity 4)
Pd 0.000 0.500 0.379 (multiplicity 4)
Pd 0.500 0.500 0.000 (multiplicity 1)
Pd 0.500 0.500 0.252 (multiplicity 2)
Pd 0.500 0.500 0.500 (multiplicity 1)

---

Q: energy of formation of number 1 (TbCd6Pd12)?
A: -0.23 eV per atom

---

Q: Which value of energy of formation does entry 3 give?
A: -0.71 eV per atom

---

Q: density of states at the Fermi level of number 1 (TbCd6Pd12)?
A: 36.56 states/eV/cell

---

Q: What is the energy of formation in the third record?
A: -0.71 eV per atom